[1]
Computed, not measured: a relaxed structure of Rh3C at the PBE-GGA level of DFT.

Summary:
The space-group type is P6_3/mmc, No. 194. The formation enthalpy at 0 K comes out at 0.52 eV per atom. The value obtained for the density is 9.743 Mg/m³. The value obtained for the volume is 109.33 Å³/cell.

Structure (extended XYZ):
```
8
Lattice="-4.679 4.970 0.293 -1.786 -6.254 -2.093 -0.573 -0.690 2.551" Properties=species:S:1:pos:R:3 pbc="T T T"
Rh -4.979 0.032 -0.393
Rh -2.344 0.555 0.340
Rh -4.251 2.581 0.460
Rh -2.059 -2.006 1.145
Rh -4.694 -2.529 0.411
Rh -2.787 -4.555 0.291
C -2.894 -2.685 -0.660
C -4.145 0.711 1.411
```

***

[2]
Computed, not measured: a relaxed structure of Rh3C at the PBE-GGA level of DFT.

Summary:
The space-group type is Fm-3m, No. 225. The formation enthalpy at 0 K comes out at 1.24 eV per atom. The value obtained for the density is 10.365 Mg/m³. The value obtained for the volume is 51.38 Å³/cell.

Structure (extended XYZ):
```
4
Lattice="-2.534 2.336 2.352 -1.290 -1.408 3.710 1.432 1.749 3.508" Properties=species:S:1:pos:R:3 pbc="T T T"
C 0.000 0.000 0.000
Rh -0.598 0.669 2.393
Rh -1.196 1.339 4.785
Rh -1.794 2.008 7.178
```

***

[3]
Computed, not measured: a relaxed structure of Rh4C3 at the PBE-GGA level of DFT.

Summary:
The space-group type is P-43m, No. 215. The formation enthalpy at 0 K comes out at 0.46 eV per atom. The value obtained for the density is 8.191 Mg/m³. The value obtained for the volume is 90.75 Å³/cell.

Structure (extended XYZ):
```
7
Lattice="4.494 0.000 0.000 0.000 4.494 0.000 0.000 0.000 4.494" Properties=species:S:1:pos:R:3 pbc="T T T"
Rh 1.122 3.372 1.122
Rh 3.372 1.122 1.122
Rh 3.372 3.372 3.372
Rh 1.122 1.122 3.372
C 2.247 0.000 2.247
C 2.247 2.247 0.000
C 0.000 2.247 2.247
```

***

[4]
Computed, not measured: a relaxed structure of Rh4C3 at the PBE-GGA level of DFT.

Summary:
The space-group type is P6/mmm, No. 191. The formation enthalpy at 0 K comes out at 1.90 eV per atom. The value obtained for the density is 8.976 Mg/m³. The value obtained for the volume is 82.82 Å³/cell.

Structure (extended XYZ):
```
7
Lattice="0.766 3.237 -2.274 -3.353 -0.148 2.229 2.881 2.480 4.500" Properties=species:S:1:pos:R:3 pbc="T T T"
Rh 0.639 0.550 0.999
Rh 2.241 1.929 3.501
Rh 0.833 3.348 1.477
Rh -0.540 2.220 2.978
C -1.677 -0.074 1.114
C -1.294 1.544 -0.023
C 0.383 1.618 -1.137
```

***

[5]
Computed, not measured: a relaxed structure of Rh4C at the PBE-GGA level of DFT.

Summary:
The space-group type is Im-3m, No. 229. The formation enthalpy at 0 K comes out at 0.68 eV per atom. The value obtained for the density is 10.121 Mg/m³. The value obtained for the volume is 69.51 Å³/cell.

Structure (extended XYZ):
```
5
Lattice="3.067 2.819 -1.666 -2.671 2.209 2.848 2.062 -3.341 2.170" Properties=species:S:1:pos:R:3 pbc="T T T"
Rh 1.229 0.843 1.676
Rh 1.031 -1.671 1.085
Rh -1.335 1.104 1.424
Rh 1.533 1.409 -0.833
C 0.000 0.000 0.000
```

***

[6]
Computed, not measured: a relaxed structure of RhC at the PBE-GGA level of DFT.

Summary:
The space-group type is Cm, No. 8. The formation enthalpy at 0 K comes out at 0.60 eV per atom. The value obtained for the density is 7.937 Mg/m³. The value obtained for the volume is 72.13 Å³/cell.

Structure (extended XYZ):
```
6
Lattice="-0.749 -4.525 0.918 1.919 -3.935 1.647 -1.398 -1.139 6.035" Properties=species:S:1:pos:R:3 pbc="T T T"
Rh 0.709 -8.124 3.979
Rh -0.801 -1.019 3.757
Rh -0.380 -6.873 6.949
C 0.102 -6.637 4.995
C 0.460 -3.714 1.322
C -0.812 -4.031 6.232
```

***

Number 1: E_tot -7.304 eV/atom. Number 2: E_tot -6.575 eV/atom. Number 3: E_tot -7.690 eV/atom. Number 4: E_tot -6.252 eV/atom. Number 5: E_tot -7.050 eV/atom. Number 6: E_tot -7.688 eV/atom.